## SrRhO (PBE)

Data for a relaxed SrRhO crystal.

Fermi-level density of states (states/eV/cell): 6.622
E_form (uncorrected) (meV per atom): -760.0

abc: 5.801 7.085 5.797
angles: 90.00 90.00 114.17
Element x y z (fractional)
Rh 0.660 0.319 0.357
Rh 0.840 0.681 0.857
Rh 0.340 0.681 0.643
Rh 0.160 0.319 0.143
O 0.306 0.112 0.250
O 0.194 0.888 0.750
O 0.694 0.888 0.750
O 0.806 0.112 0.250
Sr 0.895 0.789 0.376
Sr 0.605 0.211 0.876
Sr 0.105 0.211 0.624
Sr 0.395 0.789 0.124